{"formula": "NpGaS4", "functional": "PBE-GGA", "state": "optimized geometry", "lattice": [[3.752, 0.000, 0.000], [-1.876, 7.113, 0.636], [0.000, -3.083, 5.505]], "species": ["S", "S", "S", "S", "Ga", "Np"], "fractional_positions": [[0.395, 0.789, 0.051], [0.114, 0.228, 0.443], [0.886, 0.772, 0.557], [0.605, 0.211, 0.949], [0.000, 0.000, 0.000], [0.500, 0.000, 0.500]], "m_tot_mub_per_cell": 2.00, "total_energy_ev_per_atom": -6.151, "formation_energy_uncorrected_kj_per_mol_atoms": -71.2, "sg": "No. 12"}

{"formula": "LiTlClO", "functional": "PBE-GGA", "state": "optimized geometry", "lattice": [[-1.546, 0.984, 3.125], [1.511, -0.961, 3.150], [7.082, 11.157, 2.091]], "species": ["Cl", "Cl", "O", "O", "Tl", "Tl", "Li", "Li"], "fractional_positions": [[0.394, 0.394, 0.818], [0.606, 0.606, 0.182], [0.194, 0.194, 0.417], [0.806, 0.806, 0.583], [0.500, 0.500, 0.500], [0.000, 0.000, 0.000], [0.760, 0.760, 0.721], [0.240, 0.240, 0.279]], "m_tot_mub_per_cell": 0.00, "total_energy_ev_per_atom": -3.951, "formation_energy_uncorrected_kj_per_mol_atoms": -113.8, "sg": "No. 166"}

{"formula": "KLiZr4S8", "functional": "PBE-GGA", "state": "optimized geometry", "lattice": [[7.543, 0.000, 0.000], [3.772, 6.533, 0.000], [3.772, 2.178, 6.922]], "species": ["S", "S", "S", "S", "S", "S", "S", "S", "Zr", "Zr", "Zr", "Zr", "K", "Li"], "fractional_positions": [[0.789, 0.252, 0.707], [0.227, 0.227, 0.320], [0.749, 0.749, 0.752], [0.252, 0.789, 0.707], [0.229, 0.754, 0.262], [0.754, 0.754, 0.262], [0.754, 0.229, 0.262], [0.252, 0.252, 0.707], [0.999, 0.492, 0.510], [0.999, 0.999, 0.510], [0.622, 0.622, 0.135], [0.492, 0.999, 0.510], [0.357, 0.357, 0.929], [0.025, 0.025, 0.926]], "m_tot_mub_per_cell": 0.00, "total_energy_ev_per_atom": -6.348, "formation_energy_uncorrected_kj_per_mol_atoms": -128.6, "sg": "No. 160"}

{"formula": "LiTlRhBr2", "functional": "PBE-GGA", "state": "optimized geometry", "lattice": [[-1.079, -1.272, 4.934], [4.389, -1.610, 0.545], [1.541, 4.725, 1.556]], "species": ["Li", "Rh", "Tl", "Br", "Br"], "fractional_positions": [[0.000, 0.500, 0.000], [0.000, 0.000, 0.000], [0.500, 0.500, 0.500], [0.500, 0.000, 0.000], [0.000, 0.000, 0.500]], "m_tot_mub_per_cell": 0.00, "total_energy_ev_per_atom": -3.285, "formation_energy_uncorrected_kj_per_mol_atoms": -27.9, "sg": "No. 123"}

{"formula": "Se3BrCl", "functional": "PBE-GGA", "state": "optimized geometry", "lattice": [[5.072, 0.000, 0.000], [0.000, 5.072, 0.000], [0.000, 0.000, 5.072]], "species": ["Se", "Se", "Se", "Cl", "Br"], "fractional_positions": [[0.500, 0.000, 0.000], [0.000, 0.000, 0.500], [0.000, 0.500, 0.000], [0.000, 0.000, 0.000], [0.500, 0.500, 0.500]], "polymorph_energy_mev_per_atom": 882, "m_tot_mub_per_cell": 0.00, "total_energy_ev_per_atom": -1.791, "formation_energy_uncorrected_kj_per_mol_atoms": 96.9, "sg": "No. 221"}

{"formula": "PS", "functional": "PBE-GGA", "state": "optimized geometry", "lattice": [[-7.366, 0.200, 2.870], [1.368, -6.696, 3.978], [2.531, 4.202, 6.203]], "species": ["P", "P", "P", "P", "P", "P", "P", "P", "S", "S", "S", "S", "S", "S", "S", "S"], "fractional_positions": [[0.843, 0.843, 0.157], [0.157, 0.157, 0.157], [0.843, 0.157, 0.843], [0.343, 0.657, 0.343], [0.343, 0.343, 0.657], [0.657, 0.657, 0.657], [0.657, 0.343, 0.343], [0.157, 0.843, 0.843], [0.798, 0.798, 0.798], [0.202, 0.798, 0.202], [0.298, 0.298, 0.298], [0.702, 0.298, 0.702], [0.202, 0.202, 0.798], [0.798, 0.202, 0.202], [0.298, 0.702, 0.702], [0.702, 0.702, 0.298]], "polymorph_energy_mev_per_atom": 593, "m_tot_mub_per_cell": 0.00, "total_energy_ev_per_atom": -4.314, "formation_energy_uncorrected_kj_per_mol_atoms": 43.9, "sg": "No. 217"}